Compound: V2CuAg
Source: the Alexandria database
Functional: GGA-PBE
Structure: relaxed

Lattice parameters (Å, degrees): 4.4096 4.4096 4.4096 60.00 60.00 60.00
Atoms (fractional coordinates):
Ag (0.5000, 0.5000, 0.5000)
V (0.2500, 0.2500, 0.2500)
V (0.7500, 0.7500, 0.7500)
Cu (0.0000, 0.0000, 0.0000)

Values from the calculation:
Polymorph energy (0 for the lowest one), meV per atom: 0.0
Formation enthalpy at 0 K, eV per atom: 0.523
Total moment, μB per atom: 1.08
Calculated volume, Å³/atom: 15.2
Uncorrected energy, eV/atom: -5.773
Space-group type: No. 225


Compound: VCuAg2
Source: the Alexandria database
Functional: GGA-PBE
Structure: relaxed

Lattice parameters (Å, degrees): 7.2609 7.2609 5.8033 51.27 51.27 90.00
Atoms (fractional coordinates):
Ag (0.6485, 0.1250, 0.2500)
Ag (0.8750, 0.8985, 0.7500)
Ag (0.3750, 0.3515, 0.7500)
Ag (0.1015, 0.6250, 0.2500)
V (0.2500, 0.7500, 0.5000)
V (0.5000, 0.5000, 0.0000)
Cu (0.0000, 0.0000, 0.0000)
Cu (0.7500, 0.2500, 0.5000)

Values from the calculation:
Polymorph energy (0 for the lowest one), meV per atom: 229.5
Formation enthalpy at 0 K, eV per atom: 0.667
Total moment, μB per atom: 0.83
Calculated volume, Å³/atom: 17.8
Uncorrected energy, eV/atom: -4.063
Space-group type: No. 122


Copy entry 1 word for word.
Compound: V2CuAg
Source: the Alexandria database
Functional: GGA-PBE
Structure: relaxed

Lattice parameters (Å, degrees): 4.4096 4.4096 4.4096 60.00 60.00 60.00
Atoms (fractional coordinates):
Ag (0.5000, 0.5000, 0.5000)
V (0.2500, 0.2500, 0.2500)
V (0.7500, 0.7500, 0.7500)
Cu (0.0000, 0.0000, 0.0000)

Values from the calculation:
Polymorph energy (0 for the lowest one), meV per atom: 0.0
Formation enthalpy at 0 K, eV per atom: 0.523
Total moment, μB per atom: 1.08
Calculated volume, Å³/atom: 15.2
Uncorrected energy, eV/atom: -5.773
Space-group type: No. 225


- The lowest formation enthalpy at 0 K belongs to which entry?
  V2CuAg